(1)
Here is an optimized crystal structure of CdHPdRh2 from the Alexandria database. Energies are from PBE.

Cell: 5.003 5.003 5.006 Å, 90.00 90.00 90.00°
Space group P4/mmm (No. 123)
Asymmetric unit:
1 Cd 0.000 0.000 0.000 [1 per cell]
2 H 0.500 0.500 0.500 [1 per cell]
3 Pd 0.000 0.000 0.500 [1 per cell]
4 Rh 0.000 0.500 0.000 [2 per cell]

## Properties
The calculation puts the total energy at -14.48 eV/f.u. For the volume, the calculation gives 25.07 Å³/atom.

=====

(2)
Here is an optimized crystal structure of CdHPdRh2 from the Alexandria database. Energies are from PBE.

Cell: 3.997 3.997 4.088 Å, 90.00 90.00 90.00°
Space group P4/mmm (No. 123)
Asymmetric unit:
1 Cd 0.000 0.000 0.000 [1 per cell]
2 H 0.500 0.500 0.500 [1 per cell]
3 Pd 0.500 0.500 0.000 [1 per cell]
4 Rh 0.000 0.500 0.500 [2 per cell]

## Properties
The calculation puts the total energy at -24.48 eV/f.u. For the volume, the calculation gives 13.06 Å³/atom.

=====

(3)
Here is an optimized crystal structure of CdH5Pd2Rh from the Alexandria database. Energies are from PBE.

Cell: 3.402 4.997 9.741 Å, 90.00 90.00 90.00°
Space group Immm (No. 71)
Asymmetric unit:
1 Cd 0.000 0.000 0.000 [2 per cell]
2 H 0.000 0.194 0.347 [8 per cell]
3 H 0.000 0.500 0.000 [2 per cell]
4 Pd 0.000 0.500 0.259 [4 per cell]
5 Rh 0.000 0.000 0.500 [2 per cell]

## Properties
The calculation puts the total energy at -35.82 eV/f.u. For the volume, the calculation gives 9.20 Å³/atom.

=====

Question: Which of these has the lowest volume?
Answer: CdH5Pd2Rh